Record 1
VASP calculation (PBE) on CoHPt2Rh after structural relaxation.

## Properties
V   60.7 Å³/f.u.
Density of states at the Fermi level   7.42 states/eV/f.u.
Space-group type   P4/mmm
Polymorph energy (0 for the lowest one)   0.000 eV/atom

Cell: 3.931 3.931 3.928 Å, 90.00 90.00 90.00°
Sites, in units of the cell vectors:
Co 0.000 0.000 0.000
H 0.500 0.500 0.500
Pt 0.000 0.500 0.500
Pt 0.500 0.000 0.500
Rh 0.500 0.500 0.000

---

Record 2
VASP calculation (PBE) on Rb3Mn2Cl7 after structural relaxation.

## Properties
Uncorrected formation energy   -1.5431 eV/atom
V   344.6 Å³/f.u.
Space-group type   I4/mmm
Polymorph energy (0 for the lowest one)   0.000 eV/atom

Cell: 13.708 13.708 13.708 Å, 158.54 158.54 30.54°
Sites, in units of the cell vectors:
Rb 0.000 0.000 0.000
Rb 0.182 0.182 0.000
Rb 0.818 0.818 0.000
Mn 0.402 0.402 0.000
Mn 0.598 0.598 0.000
Cl 0.095 0.595 0.500
Cl 0.308 0.308 0.000
Cl 0.405 0.905 0.500
Cl 0.500 0.500 0.000
Cl 0.595 0.095 0.500
Cl 0.692 0.692 0.000
Cl 0.905 0.405 0.500

---

Record 3
VASP calculation (PBE) on TlMoCl4 after structural relaxation.

## Properties
Uncorrected formation energy   -0.8849 eV/atom
V   206.3 Å³/f.u.
Space-group type   C2/c
Polymorph energy (0 for the lowest one)   0.000 eV/atom

Cell: 8.003 8.003 7.461 Å, 103.15 103.15 109.91°
Sites, in units of the cell vectors:
Tl 0.130 0.870 0.750
Tl 0.870 0.130 0.250
Mo 0.500 0.500 0.250
Mo 0.500 0.500 0.750
Cl 0.210 0.214 0.609
Cl 0.214 0.210 0.109
Cl 0.371 0.625 0.499
Cl 0.375 0.629 0.001
Cl 0.625 0.371 0.999
Cl 0.629 0.375 0.501
Cl 0.786 0.790 0.891
Cl 0.790 0.786 0.391

---

Record 4
VASP calculation (PBE) on Pm4TmAl4 after structural relaxation.

## Properties
V   235.5 Å³/f.u.
Density of states at the Fermi level   7.58 states/eV/f.u.
Space-group type   P4_2/n
Formation enthalpy at 0 K   -1.4 eV per formula unit

Cell: 8.854 8.854 6.008 Å, 90.00 90.00 90.00°
Sites, in units of the cell vectors:
Pm 0.078 0.824 0.126
Pm 0.176 0.578 0.626
Pm 0.324 0.922 0.626
Pm 0.422 0.676 0.126
Pm 0.578 0.324 0.874
Pm 0.676 0.078 0.374
Pm 0.824 0.422 0.374
Pm 0.922 0.176 0.874
Tm 0.250 0.250 0.750
Tm 0.750 0.750 0.250
Al 0.062 0.159 0.357
Al 0.159 0.438 0.143
Al 0.341 0.062 0.143
Al 0.438 0.341 0.357
Al 0.562 0.659 0.643
Al 0.659 0.938 0.857
Al 0.841 0.562 0.857
Al 0.938 0.841 0.643

---

Record 5
VASP calculation (PBE) on La6Pr2Fe after structural relaxation.

## Properties
V   315.9 Å³/f.u.
Density of states at the Fermi level   14.18 states/eV/f.u.
Space-group type   Immm
Formation enthalpy at 0 K   0.4 eV per formula unit

Cell: 7.485 7.485 7.485 Å, 118.92 106.96 102.98°
Sites, in units of the cell vectors:
La 0.200 0.000 0.200
La 0.292 0.040 0.748
La 0.292 0.545 0.252
La 0.708 0.455 0.748
La 0.708 0.960 0.252
La 0.800 0.000 0.800
Pr 0.198 0.500 0.698
Pr 0.802 0.500 0.302
Fe 0.500 0.000 0.500

---

Record 6
VASP calculation (PBE) on Th3IrPd2 after structural relaxation.

## Properties
V   155.5 Å³/f.u.
Density of states at the Fermi level   2.69 states/eV/f.u.
Space-group type   C2/m
Formation enthalpy at 0 K   -4.9 eV per formula unit

Cell: 7.225 7.225 7.241 Å, 99.46 99.46 119.53°
Sites, in units of the cell vectors:
Th 0.077 0.419 0.758
Th 0.236 0.236 0.237
Th 0.419 0.077 0.758
Th 0.581 0.923 0.242
Th 0.764 0.764 0.763
Th 0.923 0.581 0.242
Ir 0.168 0.832 0.000
Ir 0.832 0.168 0.000
Pd 0.000 0.000 0.500
Pd 0.338 0.662 0.500
Pd 0.500 0.500 0.000
Pd 0.662 0.338 0.500

---

Record 7
VASP calculation (PBE) on TbNdY2Er6 after structural relaxation.

## Properties
V   320.3 Å³/f.u.
Density of states at the Fermi level   15.19 states/eV/f.u.
Space-group type   C2/c
Formation enthalpy at 0 K   1.3 eV per formula unit

Cell: 8.782 8.782 9.344 Å, 92.70 92.70 116.82°
Sites, in units of the cell vectors:
Tb 0.089 0.911 0.750
Tb 0.911 0.089 0.250
Nd 0.466 0.534 0.250
Nd 0.534 0.466 0.750
Y 0.197 0.299 0.949
Y 0.299 0.197 0.449
Y 0.701 0.803 0.551
Y 0.803 0.701 0.051
Er 0.021 0.791 0.387
Er 0.060 0.513 0.182
Er 0.209 0.979 0.113
Er 0.258 0.620 0.559
Er 0.380 0.742 0.941
Er 0.487 0.940 0.318
Er 0.513 0.060 0.682
Er 0.620 0.258 0.059
Er 0.742 0.380 0.441
Er 0.791 0.021 0.887
Er 0.940 0.487 0.818
Er 0.979 0.209 0.613

---

Record 8
VASP calculation (PBE) on ThZrTcAu after structural relaxation.

## Properties
V   86.7 Å³/f.u.
Density of states at the Fermi level   5.29 states/eV/f.u.
Space-group type   F-43m
Formation enthalpy at 0 K   -1.0 eV per formula unit

Cell: 4.968 4.968 4.968 Å, 60.00 60.00 60.00°
Sites, in units of the cell vectors:
Th 0.000 0.000 0.000
Zr 0.500 0.500 0.500
Tc 0.750 0.750 0.750
Au 0.250 0.250 0.250